A plane-wave DFT calculation with GGA-PBE was carried out for an optimized crystal structure of Co7NiPt3.

Properties
The crystal system is orthorhombic. The total moment is 57.82 μB per cell. For the density of states at the Fermi level, the calculation gives 47.3 states/eV/cell. The formation energy is 141 meV/atom. For the calculated volume, the calculation gives 13.44 Å³/atom.

Cell: 2.5997 19.5650 11.6262 Å, 90.00 90.00 90.00°
Space group Cmcm (No. 63)
Unique sites:
Co  0.0000  0.0322  0.0830
Co  0.0000  0.0874  0.6049
Co  0.0000  0.1039  0.2500
Co  0.0000  0.2222  0.5811
Ni  0.0000  0.4856  0.2500
Pt  0.0000  0.3337  0.2500
Pt  0.0000  0.3522  0.5679